{"formula": "Na2PrWO6", "functional": "PBE with a Hubbard U", "state": "optimized geometry", "rho_g_cm3": 5.42, "magnetic_moment_mub_per_fu": 1.1, "dos_ef_per_ev_atom": 0.7875, "de_polymorph_mev_per_atom": 0, "lattice": [[5.777, 0.000, 0.000], [0.000, 5.967, 0.000], [-5.772, 0.000, 8.294]], "species": ["Na", "Na", "Na", "Na", "Pr", "Pr", "W", "W", "O", "O", "O", "O", "O", "O", "O", "O", "O", "O", "O", "O"], "frac_coords": [[0.236, 0.038, 0.244], [0.236, 0.462, 0.744], [0.764, 0.538, 0.256], [0.764, 0.962, 0.756], [0.000, 0.000, 0.500], [0.000, 0.500, 0.000], [0.500, 0.000, 0.000], [0.500, 0.500, 0.500], [0.178, 0.175, 0.955], [0.178, 0.325, 0.455], [0.271, 0.728, 0.939], [0.271, 0.772, 0.439], [0.378, 0.044, 0.777], [0.378, 0.456, 0.277], [0.622, 0.544, 0.723], [0.622, 0.956, 0.223], [0.729, 0.228, 0.561], [0.729, 0.272, 0.061], [0.822, 0.675, 0.545], [0.822, 0.825, 0.045]]}